# 1
A relaxed FeTc2Pb crystal, computed with GGA-PBE.

a = 4.499 Å, b = 4.499 Å, c = 4.499 Å
α = 60.00°, β = 60.00°, γ = 60.00°
Sites, in units of the cell vectors:
Tc  0.000  0.000  0.000
Pb  0.750  0.750  0.750
Fe  0.500  0.500  0.500
Tc  0.250  0.250  0.250

ΔE_f: 233 kJ/mol of formula units

# 2
A relaxed Fe2TcPb crystal, computed with GGA-PBE.

a = 6.873 Å, b = 6.873 Å, c = 5.600 Å
α = 52.14°, β = 52.14°, γ = 90.00°
Sites, in units of the cell vectors:
Pb  0.000  0.000  0.000
Fe  0.375  0.428  0.750
Fe  0.875  0.822  0.750
Tc  0.250  0.750  0.500
Tc  0.500  0.500  0.000
Fe  0.572  0.125  0.250
Pb  0.750  0.250  0.500
Fe  0.178  0.625  0.250

ΔE_f: 360 kJ/mol of formula units

# 3
A relaxed Fe2TcPb crystal, computed with GGA-PBE.

a = 3.070 Å, b = 3.070 Å, c = 6.761 Å
α = 90.00°, β = 90.00°, γ = 90.00°
Sites, in units of the cell vectors:
Tc  0.500  0.500  0.808
Fe  0.500  0.500  0.194
Pb  0.000  0.000  0.491
Fe  0.000  0.000  0.008

ΔE_f: 176 kJ/mol of formula units

# 4
A relaxed FeTc2Pb crystal, computed with GGA-PBE.

a = 4.816 Å, b = 4.816 Å, c = 4.821 Å
α = 78.73°, β = 78.73°, γ = 36.96°
Sites, in units of the cell vectors:
Fe  0.510  0.510  0.462
Pb  0.751  0.751  0.739
Tc  0.250  0.250  0.242
Tc  0.989  0.989  0.057

ΔE_f: 206 kJ/mol of formula units

# 5
A relaxed FeTc4Pb crystal, computed with GGA-PBE.

a = 5.204 Å, b = 5.204 Å, c = 5.204 Å
α = 60.00°, β = 60.00°, γ = 60.00°
Sites, in units of the cell vectors:
Tc  0.375  0.375  0.375
Fe  0.750  0.750  0.750
Tc  0.874  0.375  0.375
Tc  0.375  0.874  0.375
Tc  0.375  0.375  0.874
Pb  0.000  0.000  0.000

ΔE_f: 361 kJ/mol of formula units

# 6
A relaxed Fe2TcPb crystal, computed with GGA-PBE.

a = 4.780 Å, b = 4.780 Å, c = 4.780 Å
α = 130.61°, β = 130.61°, γ = 72.44°
Sites, in units of the cell vectors:
Pb  0.250  0.750  0.500
Fe  0.500  0.500  0.000
Tc  0.750  0.250  0.500
Fe  0.000  0.000  0.000

ΔE_f: 225 kJ/mol of formula units

# 7
A relaxed Fe2TcPb crystal, computed with GGA-PBE.

a = 8.785 Å, b = 8.785 Å, c = 8.785 Å
α = 19.52°, β = 19.52°, γ = 19.52°
Sites, in units of the cell vectors:
Fe  0.999  0.999  0.999
Tc  0.738  0.738  0.738
Pb  0.501  0.501  0.501
Fe  0.263  0.263  0.263

ΔE_f: 245 kJ/mol of formula units

# 8
A relaxed Fe2TcPb crystal, computed with GGA-PBE.

a = 4.829 Å, b = 4.829 Å, c = 4.829 Å
α = 131.49°, β = 131.49°, γ = 71.04°
Sites, in units of the cell vectors:
Pb  0.500  0.500  0.000
Tc  0.750  0.250  0.500
Fe  0.250  0.750  0.500
Fe  0.000  0.000  0.000

ΔE_f: 205 kJ/mol of formula units

# 9
A relaxed FeTc2Pb crystal, computed with GGA-PBE.

a = 7.273 Å, b = 7.273 Å, c = 5.760 Å
α = 50.85°, β = 50.85°, γ = 90.00°
Sites, in units of the cell vectors:
Pb  0.750  0.250  0.500
Fe  0.500  0.500  0.000
Pb  0.000  0.000  0.000
Tc  0.193  0.625  0.250
Tc  0.875  0.807  0.750
Tc  0.557  0.125  0.250
Tc  0.375  0.443  0.750
Fe  0.250  0.750  0.500

ΔE_f: 331 kJ/mol of formula units

# 10
A relaxed Fe2TcPb crystal, computed with GGA-PBE.

a = 4.443 Å, b = 4.443 Å, c = 4.443 Å
α = 60.00°, β = 60.00°, γ = 60.00°
Sites, in units of the cell vectors:
Fe  0.000  0.000  0.000
Pb  0.500  0.500  0.500
Fe  0.250  0.250  0.250
Tc  0.750  0.750  0.750

ΔE_f: 206 kJ/mol of formula units

# 11
A relaxed Fe2TcPb crystal, computed with GGA-PBE.

a = 3.968 Å, b = 3.968 Å, c = 3.953 Å
α = 90.00°, β = 90.00°, γ = 90.00°
Sites, in units of the cell vectors:
Tc  0.000  0.500  0.500
Fe  0.500  0.500  0.000
Fe  0.000  0.000  0.000
Pb  0.500  0.000  0.500

ΔE_f: 192 kJ/mol of formula units

# 12
A relaxed FeTc2Pb crystal, computed with GGA-PBE.

a = 5.199 Å, b = 5.199 Å, c = 5.199 Å
α = 143.46°, β = 129.41°, γ = 64.00°
Sites, in units of the cell vectors:
Pb  0.259  0.759  0.500
Tc  0.740  0.240  0.500
Tc  0.994  0.994  0.000
Fe  0.507  0.507  0.000

ΔE_f: 216 kJ/mol of formula units

# 13
A relaxed FeTc2Pb crystal, computed with GGA-PBE.

a = 3.278 Å, b = 4.398 Å, c = 4.477 Å
α = 90.00°, β = 90.00°, γ = 90.00°
Sites, in units of the cell vectors:
Tc  0.000  0.000  0.000
Tc  0.500  0.500  0.000
Fe  0.500  0.000  0.500
Pb  0.000  0.500  0.500

ΔE_f: 253 kJ/mol of formula units

# 14
A relaxed FeTc2Pb crystal, computed with GGA-PBE.

a = 3.056 Å, b = 3.058 Å, c = 7.658 Å
α = 71.74°, β = 90.00°, γ = 90.00°
Sites, in units of the cell vectors:
Tc  0.000  0.909  0.049
Pb  0.500  0.753  0.743
Tc  0.500  0.260  0.248
Fe  0.000  0.579  0.459

ΔE_f: 174 kJ/mol of formula units

# 15
A relaxed Fe4TcPb crystal, computed with GGA-PBE.

a = 4.913 Å, b = 4.913 Å, c = 4.913 Å
α = 60.00°, β = 60.00°, γ = 60.00°
Sites, in units of the cell vectors:
Fe  0.374  0.877  0.374
Tc  0.000  0.000  0.000
Pb  0.750  0.750  0.750
Fe  0.374  0.374  0.374
Fe  0.374  0.374  0.877
Fe  0.877  0.374  0.374

ΔE_f: 201 kJ/mol of formula units

# 16
A relaxed FeTcPb crystal, computed with GGA-PBE.

a = 6.510 Å, b = 6.070 Å, c = 6.070 Å
α = 151.58°, β = 152.98°, γ = 38.88°
Sites, in units of the cell vectors:
Pb  0.328  0.337  0.991
Fe  0.068  0.024  0.044
Tc  0.604  0.639  0.965

ΔE_f: 163 kJ/mol of formula units
Energy above the lowest structure with this stoichiometry: 0.000 eV per atom

# 17
A relaxed FeTc2Pb crystal, computed with GGA-PBE.

a = 4.726 Å, b = 4.726 Å, c = 4.980 Å
α = 78.71°, β = 78.71°, γ = 37.45°
Sites, in units of the cell vectors:
Tc  0.984  0.984  0.053
Pb  0.750  0.750  0.750
Fe  0.250  0.250  0.250
Tc  0.516  0.516  0.447

ΔE_f: 194 kJ/mol of formula units

# 18
A relaxed Fe2TcPb crystal, computed with GGA-PBE.

a = 3.031 Å, b = 3.038 Å, c = 7.367 Å
α = 71.82°, β = 90.00°, γ = 90.00°
Sites, in units of the cell vectors:
Tc  0.500  0.642  0.810
Pb  0.000  0.501  0.493
Fe  0.000  0.999  0.006
Fe  0.500  0.358  0.190

ΔE_f: 173 kJ/mol of formula units

# 19
A relaxed FeTcPb crystal, computed with GGA-PBE.

a = 4.247 Å, b = 4.247 Å, c = 3.350 Å
α = 90.00°, β = 90.00°, γ = 120.00°
Sites, in units of the cell vectors:
Pb  0.667  0.333  0.320
Tc  0.333  0.667  0.791
Fe  0.000  0.000  0.889

ΔE_f: 193 kJ/mol of formula units
Energy above the lowest structure with this stoichiometry: 0.101 eV per atom

# 20
A relaxed FeTc2Pb crystal, computed with GGA-PBE.

a = 4.892 Å, b = 4.892 Å, c = 4.892 Å
α = 131.70°, β = 131.74°, γ = 70.67°
Sites, in units of the cell vectors:
Tc  0.000  0.000  0.000
Tc  0.500  0.500  0.000
Pb  0.250  0.750  0.500
Fe  0.750  0.250  0.500

ΔE_f: 232 kJ/mol of formula units